1.
The following is a PBE calculation of a geometry-optimized LaCd11In structure, from Alexandria via LeMat-Bulk.

```
LaCd11In
1.0
3.0074 -7.1754 0.0000
3.0074 7.1754 0.0000
-2.9920 0.0000 7.1053
La Cd In
1 11 1
direct
0.0000 0.0000 0.0000 La
0.0000 0.5000 0.0000 Cd
0.0020 0.3580 0.3524 Cd
0.2953 0.5087 0.7894 Cd
0.3580 0.0020 0.3524 Cd
0.4913 0.7047 0.2106 Cd
0.5000 0.0000 0.0000 Cd
0.5000 0.5000 0.5000 Cd
0.5087 0.2953 0.7894 Cd
0.6420 0.9980 0.6476 Cd
0.7047 0.4913 0.2106 Cd
0.9980 0.6420 0.6476 Cd
0.0000 0.0000 0.5000 In
```


2.
The following is a PBE calculation of a geometry-optimized LaCdIn2 structure, from Alexandria via LeMat-Bulk.

```
LaCdIn2
1.0
3.4047 0.0000 0.0000
0.0000 5.1071 0.0000
-0.0115 0.0000 6.3588
La Cd In
1 1 2
direct
0.0000 0.0000 0.0000 La
0.5011 0.5000 0.2516 Cd
0.4983 0.0000 0.4959 In
0.4994 0.5000 0.7629 In
```


3.
The following is a PBE calculation of a geometry-optimized La4CdIn3 structure, from Alexandria via LeMat-Bulk.

```
La4CdIn3
1.0
3.9313 -3.9403 0.0000
3.9313 3.9403 0.0000
-3.9195 0.0000 7.9901
La Cd In
4 1 3
direct
0.1245 0.6247 0.7491 La
0.3753 0.8755 0.2509 La
0.6247 0.1245 0.7491 La
0.8755 0.3753 0.2509 La
0.0000 0.0000 0.5000 Cd
0.2486 0.2486 0.9969 In
0.5000 0.5000 0.5000 In
0.7514 0.7514 0.0031 In
```


In order of appearance, final energy = -1.48; -3.12; -4.08 eV per atom.
In order of appearance, Fermi-level density of states = 0.298; 0.789; 1.189 states/eV/atom.
In order of appearance, ρ = 8.1; 7.2; 6.8 g cm⁻³.